Entry from Alexandria via LeMat-Bulk: a relaxed CaPmPd2 crystal (PBE).

It has space group Fm-3m (No. 225), with a = 7.119 Å, b = 7.119 Å, c = 7.119 Å, α = 90.00°, β = 90.00° and γ = 90.00°. Symmetry generates all atoms from Ca at (0.000, 0.000, 0.000), Pm at (0.000, 0.000, 0.500) and Pd at (0.250, 0.250, 0.250).

The calculation puts the formation energy at -0.74 eV/atom. The size of the total moment is 0.000 μB/atom. The density of states at the Fermi level is 0.63 states/eV per atom. The value obtained for the final energy is -80.362 eV/cell.



Entry from Alexandria via LeMat-Bulk: a relaxed CaPm2Pd3 crystal (PBE).

It has space group P4/mmm (No. 123), with a = 3.559 Å, b = 3.559 Å, c = 10.912 Å, α = 90.00°, β = 90.00° and γ = 90.00°. Symmetry generates all atoms from Ca at (0.000, 0.000, 0.000), Pm at (0.000, 0.000, 0.330), Pd at (0.500, 0.500, 0.176) and Pd at (0.500, 0.500, 0.500).

The calculation puts the formation energy at -0.76 eV/atom. The size of the total moment is 0.000 μB/atom. The density of states at the Fermi level is 0.43 states/eV per atom. The value obtained for the final energy is -31.652 eV/cell.



Entry from Alexandria via LeMat-Bulk: a relaxed CaPmPd2 crystal (PBE).

It has space group R-3m (No. 166, hexagonal axes), with a = 4.1378 Å, b = 4.1378 Å, c = 20.7783 Å, α = 90.00°, β = 90.00° and γ = 120.00°. Symmetry generates all atoms from Ca at (0.0000, 0.0000, 0.0000), Pm at (0.0000, 0.0000, 0.5000) and Pd at (0.0000, 0.0000, 0.2479).

The calculation puts the formation energy at -0.59 eV/atom. The size of the total moment is 0.000 μB/atom. The density of states at the Fermi level is 0.51 states/eV per atom. The value obtained for the final energy is -58.524 eV/cell.



Entry from Alexandria via LeMat-Bulk: a relaxed CaPmPd4 crystal (PBE).

It has space group F-43m (No. 216), with a = 7.757 Å, b = 7.757 Å, c = 7.757 Å, α = 90.00°, β = 90.00° and γ = 90.00°. Symmetry generates all atoms from Ca at (0.000, 0.000, 0.000), Pm at (0.250, 0.250, 0.250) and Pd at (0.125, 0.125, 0.625).

The calculation puts the formation energy at -0.74 eV/atom. The size of the total moment is 0.000 μB/atom. The density of states at the Fermi level is 1.12 states/eV per atom. The value obtained for the final energy is -127.811 eV/cell.



Entry from Alexandria via LeMat-Bulk: a relaxed Ca2PmPd3 crystal (PBE).

It has space group P-3m1 (No. 164), with a = 5.0354 Å, b = 5.0354 Å, c = 6.1271 Å, α = 90.00°, β = 90.00° and γ = 120.00°. Symmetry generates all atoms from Ca at (0.3333, 0.6667, 0.1549), Pm at (0.0000, 0.0000, 0.5000), Pd at (0.0000, 0.0000, 0.0000) and Pd at (0.3333, 0.6667, 0.6481).

The calculation puts the formation energy at -0.73 eV/atom. The size of the total moment is 0.000 μB/atom. The density of states at the Fermi level is 0.45 states/eV per atom. The value obtained for the final energy is -28.683 eV/cell.



Entry from Alexandria via LeMat-Bulk: a relaxed CaPm4Pd2 crystal (PBE).

It has space group P2_1/m (No. 11), with a = 8.039 Å, b = 6.604 Å, c = 8.296 Å, α = 90.00°, β = 111.73° and γ = 90.00°. Symmetry generates all atoms from Ca at (0.156, 0.250, 0.022), Pm at (0.021, 0.250, 0.390), Pm at (0.247, 0.750, 0.343), Pm at (0.403, 0.004, 0.762), Pd at (0.271, 0.750, 0.997) and Pd at (0.383, 0.250, 0.418).

The calculation puts the formation energy at -0.38 eV/atom. The size of the total moment is 0.000 μB/atom. The density of states at the Fermi level is 1.22 states/eV per atom. The value obtained for the final energy is -68.098 eV/cell.



Entry from Alexandria via LeMat-Bulk: a relaxed CaPmPdPt crystal (PBE).

It has space group F-43m (No. 216), with a = 7.087 Å, b = 7.087 Å, c = 7.087 Å, α = 90.00°, β = 90.00° and γ = 90.00°. Symmetry generates all atoms from Ca at (0.000, 0.000, 0.000), Pm at (0.000, 0.000, 0.500), Pd at (0.250, 0.250, 0.750) and Pt at (0.250, 0.250, 0.250).

The calculation puts the formation energy at -0.89 eV/atom. The size of the total moment is 0.000 μB/atom. The density of states at the Fermi level is 0.65 states/eV per atom. The value obtained for the final energy is -86.216 eV/cell.



Entry from Alexandria via LeMat-Bulk: a relaxed Ca2Pm2PdPt2 crystal (PBE).

It has space group P-1 (No. 2), with a = 3.839 Å, b = 7.523 Å, c = 7.771 Å, α = 115.16°, β = 90.02° and γ = 104.68°. Symmetry generates all atoms from Ca at (0.217, 0.433, 0.278), Pm at (0.470, 0.939, 0.252), Pd at (0.000, 0.000, 0.000) and Pt at (0.110, 0.221, 0.543).

The calculation puts the formation energy at -0.81 eV/atom. The size of the total moment is 0.000 μB/atom. The density of states at the Fermi level is 0.53 states/eV per atom. The value obtained for the final energy is -36.455 eV/cell.



Entry from Alexandria via LeMat-Bulk: a relaxed CaPmPdPt crystal (PBE).

It has space group Amm2 (No. 38), with a = 4.512 Å, b = 3.918 Å, c = 10.714 Å, α = 90.00°, β = 90.00° and γ = 90.00°. Symmetry generates all atoms from Ca at (0.000, 0.000, 0.000), Pm at (0.500, 0.000, 0.722), Pd at (0.000, 0.000, 0.279) and Pt at (0.500, 0.000, 0.442).

The calculation puts the formation energy at -0.91 eV/atom. The size of the total moment is 0.000 μB/atom. The density of states at the Fermi level is 0.50 states/eV per atom. The value obtained for the final energy is -43.243 eV/cell.



Entry from Alexandria via LeMat-Bulk: a relaxed CaPmSb2Pd5 crystal (PBE).

It has space group P4/mmm (No. 123), with a = 4.619 Å, b = 4.619 Å, c = 8.754 Å, α = 90.00°, β = 90.00° and γ = 90.00°. Symmetry generates all atoms from Ca at (0.000, 0.000, 0.000), Pm at (0.000, 0.000, 0.500), Sb at (0.500, 0.500, 0.338), Pd at (0.000, 0.500, 0.207) and Pd at (0.500, 0.500, 0.000).

The size of the total moment is 0.000 μB/atom. The density of states at the Fermi level is 0.23 states/eV per atom. The value obtained for the final energy is -46.994 eV/cell.



Entry from Alexandria via LeMat-Bulk: a relaxed CaPmSiPd crystal (PBE).

It has space group F-43m (No. 216), with a = 7.157 Å, b = 7.157 Å, c = 7.157 Å, α = 90.00°, β = 90.00° and γ = 90.00°. Symmetry generates all atoms from Ca at (0.000, 0.000, 0.000), Pm at (0.000, 0.000, 0.500), Si at (0.250, 0.250, 0.750) and Pd at (0.250, 0.250, 0.250).

The size of the total moment is 0.000 μB/atom. The density of states at the Fermi level is 0.59 states/eV per atom. The value obtained for the final energy is -79.101 eV/cell.



Entry from Alexandria via LeMat-Bulk: a relaxed CaPmTlPd crystal (PBE).

It has space group F-43m (No. 216), with a = 7.450 Å, b = 7.450 Å, c = 7.450 Å, α = 90.00°, β = 90.00° and γ = 90.00°. Symmetry generates all atoms from Ca at (0.000, 0.000, 0.000), Pm at (0.000, 0.000, 0.500), Tl at (0.250, 0.250, 0.750) and Pd at (0.250, 0.250, 0.250).

The calculation puts the formation energy at -0.51 eV/atom. The size of the total moment is 0.000 μB/atom. The density of states at the Fermi level is 0.64 states/eV per atom. The value obtained for the final energy is -65.407 eV/cell.